The following is a GGA+U calculation of a relaxed structure of Ca2SbWO6, from the Alexandria database.

The structure belongs to space group P1 (No. 1); the cell edges are 5.6196, 5.8044 and 6.0491 Å and the angles 85.68°, 67.61° and 61.21°. The inequivalent atoms are Ca at (0.0000, 0.0000, 0.0000), Ca at (0.0919, 0.3990, 0.5240), Sb at (0.5871, 0.6706, 0.1899), W at (0.7283, 0.0585, 0.5974), O at (0.1614, 0.9824, 0.3393), O at (0.3460, 0.1113, 0.7508), O at (0.5894, 0.3446, 0.3570), O at (0.7435, 0.3021, 0.7816), O at (0.8173, 0.7566, 0.3293) and O at (0.9221, 0.7740, 0.7689).

The density of states at the Fermi level is 0.0 states/eV/cell. As for the energy: -6.74 eV per atom.